Ho2ErSe2: optimized geometry, GGA-PBE.

Cell and atoms, written as POSCAR:
```
Ho2ErSe2
1.0
4.0275 0.0000 0.0000
0.0000 4.0275 0.0000
-2.0137 -2.0137 7.9933
Ho Er Se
2 1 2
Cartesian
2.0137 2.0137 2.2950
0.0000 0.0000 5.6983
0.0000 0.0000 0.0000
2.0137 2.0137 5.1984
0.0000 0.0000 2.7949
```

Results
Energy   -5.4640 eV/atom